(1)
Computed, not measured: a relaxed structure of AcNd3Cd2 at the GGA-PBE level of DFT.

The density of states at the Fermi level comes out at 7.5 states/eV per cell. The value obtained for the formation energy is -0.209 eV/atom. The calculation puts the total energy at -3.5823 eV/atom.

Cell and atoms, written as CIF:
```
data_AcNd3Cd2
_chemical_formula_sum 'Ac1 Nd3 Cd2'
_symmetry_space_group_name_H-M 'P 4/m m m'
_symmetry_Int_Tables_number 123
_symmetry_space_group_name_Hall '-P 4 2'
_cell_length_a 3.8540
_cell_length_b 3.8540
_cell_length_c 12.9989
_cell_angle_alpha 90.00
_cell_angle_beta 90.00
_cell_angle_gamma 90.00
loop_
_atom_site_label
_atom_site_fract_x
_atom_site_fract_y
_atom_site_fract_z
Ac1 0.0000 0.0000 0.0000
Nd1 0.5000 0.5000 0.2040
Nd2 0.5000 0.5000 0.5000
Cd1 0.0000 0.0000 0.3513
```

(2)
Computed, not measured: a relaxed structure of NaIn2Rh at the GGA-PBE level of DFT.

The density of states at the Fermi level comes out at 6.8 states/eV per cell. The value obtained for the formation energy is -0.106 eV/atom. The calculation puts the total energy at -3.6428 eV/atom.

Cell and atoms, written as CIF:
```
data_NaIn2Rh
_chemical_formula_sum 'Na3 In6 Rh3'
_symmetry_space_group_name_H-M 'R -3 m'
_symmetry_Int_Tables_number 166
_symmetry_space_group_name_Hall '-R 3 2"'
_cell_length_a 3.3328
_cell_length_b 3.3328
_cell_length_c 28.1661
_cell_angle_alpha 90.00
_cell_angle_beta 90.00
_cell_angle_gamma 120.00
loop_
_atom_site_label
_atom_site_fract_x
_atom_site_fract_y
_atom_site_fract_z
Na1 0.0000 0.0000 0.0000
In1 0.0000 0.0000 0.2363
Rh1 0.0000 0.0000 0.5000
```

(3)
Computed, not measured: a relaxed structure of SrHoTlBr6 at the GGA-PBE level of DFT.

The density of states at the Fermi level comes out at 0.0 states/eV per cell. Its formation energy from raw total energies is -1745 meV/atom. The calculation puts the total energy at -3.8191 eV/atom.

Cell and atoms, written as CIF:
```
data_SrHoTlBr6
_chemical_formula_sum 'Sr2 Ho2 Tl2 Br12'
_symmetry_space_group_name_H-M 'P -3 1 c'
_symmetry_Int_Tables_number 163
_symmetry_space_group_name_Hall '-P 3 2c'
_cell_length_a 7.6749
_cell_length_b 7.6749
_cell_length_c 14.1130
_cell_angle_alpha 90.00
_cell_angle_beta 90.00
_cell_angle_gamma 120.00
loop_
_atom_site_label
_atom_site_fract_x
_atom_site_fract_y
_atom_site_fract_z
Sr1 0.3333 0.6667 0.2500
Ho1 0.3333 0.6667 0.7500
Tl1 0.0000 0.0000 0.0000
Br1 0.0259 0.3789 0.6347
```

(4)
Computed, not measured: a relaxed structure of Tl2TcF5 at the GGA-PBE level of DFT.

Its formation energy from raw total energies is -1782 meV/atom. The calculation puts the total energy at -4.8387 eV/atom.

Cell and atoms, written as CIF:
```
data_Tl2TcF5
_chemical_formula_sum 'Tl4 Tc2 F10'
_symmetry_space_group_name_H-M 'I 4 m m'
_symmetry_Int_Tables_number 107
_symmetry_space_group_name_Hall 'I 4 -2'
_cell_length_a 6.2455
_cell_length_b 6.2455
_cell_length_c 8.7875
_cell_angle_alpha 90.00
_cell_angle_beta 90.00
_cell_angle_gamma 90.00
loop_
_atom_site_label
_atom_site_fract_x
_atom_site_fract_y
_atom_site_fract_z
Tl1 0.0000 0.5000 0.0000
Tc1 0.0000 0.0000 0.2229
F1 0.0000 0.0000 0.4632
F2 0.2247 0.2247 0.2125
```

(5)
Computed, not measured: a relaxed structure of Tm5ScAg6 at the GGA-PBE level of DFT.

The density of states at the Fermi level comes out at 10.4 states/eV per cell. The value obtained for the formation energy is -0.326 eV/atom. The calculation puts the total energy at -4.1423 eV/atom.

Cell and atoms, written as CIF:
```
data_Tm5ScAg6
_chemical_formula_sum 'Tm10 Sc2 Ag12'
_symmetry_space_group_name_H-M 'C m m m'
_symmetry_Int_Tables_number 65
_symmetry_space_group_name_Hall '-C 2 2'
_cell_length_a 5.0691
_cell_length_b 15.1791
_cell_length_c 7.0560
_cell_angle_alpha 90.00
_cell_angle_beta 90.00
_cell_angle_gamma 90.00
loop_
_atom_site_label
_atom_site_fract_x
_atom_site_fract_y
_atom_site_fract_z
Tm1 0.0000 0.0000 0.0000
Tm2 0.0000 0.3324 0.0000
Tm3 0.0000 0.3343 0.5000
Sc1 0.0000 0.0000 0.5000
Ag1 0.0000 0.1637 0.2547
Ag2 0.0000 0.5000 0.2556
```

(6)
Computed, not measured: a relaxed structure of CsNb2P at the GGA-PBE level of DFT.

The density of states at the Fermi level comes out at 22.5 states/eV per cell. The value obtained for the formation energy is 1.144 eV/atom. The calculation puts the total energy at -5.4572 eV/atom.

Cell and atoms, written as CIF:
```
data_CsNb2P
_chemical_formula_sum 'Cs4 Nb8 P4'
_symmetry_space_group_name_H-M 'F m -3 m'
_symmetry_Int_Tables_number 225
_symmetry_space_group_name_Hall '-F 4 2 3'
_cell_length_a 6.6984
_cell_length_b 6.6984
_cell_length_c 6.6984
_cell_angle_alpha 90.00
_cell_angle_beta 90.00
_cell_angle_gamma 90.00
loop_
_atom_site_label
_atom_site_fract_x
_atom_site_fract_y
_atom_site_fract_z
Cs1 0.0000 0.0000 0.0000
Nb1 0.2500 0.2500 0.2500
P1 0.0000 0.0000 0.5000
```

In order of appearance, spin magnetization = 0.2; 0.0; 0.0; 8.0; 0.0; 0.0 μB per cell.